Record 1
# PaMn2RuO8 (PBE with a Hubbard U, optimized geometry)
data_PaMn2RuO8
_chemical_formula_sum 'Pa1 Mn2 Ru1 O8'
_space_group_name_H-M_alt 'P 1'
_space_group_IT_number 1
_space_group_name_Hall 'P 1'
_cell_length_a 5.8736
_cell_length_b 5.8736
_cell_length_c 5.8736
_cell_angle_alpha 110.35
_cell_angle_beta 110.35
_cell_angle_gamma 107.74
loop_
_atom_site_label
_atom_site_type_symbol
_atom_site_fract_x
_atom_site_fract_y
_atom_site_fract_z
Pa1 Pa 0.0000 0.0000 0.0000
Mn1 Mn 0.2500 0.7500 0.5000
Mn2 Mn 0.5000 0.5000 0.0000
Ru1 Ru 0.7500 0.2500 0.5000
O1 O 0.0602 0.3813 0.3211
O2 O 0.0602 0.7391 0.6789
O3 O 0.0777 0.2826 0.7951
O4 O 0.2609 0.9398 0.3211
O5 O 0.4874 0.2826 0.2049
O6 O 0.6187 0.9398 0.6789
O7 O 0.7174 0.5126 0.7951
O8 O 0.7174 0.9223 0.2049
# DOS at the Fermi energy in states/eV/atom: 0.248
# E in eV/atom: -7.71
# Total magnetic moment in μB/f.u.: 11.06
# Space-group type: I-4m2 (119)

---

Record 2
# PaMnSbO6 (PBE with a Hubbard U, optimized geometry)
data_PaMnSbO6
_chemical_formula_sum 'Pa2 Mn2 Sb2 O12'
_space_group_name_H-M_alt 'P 1'
_space_group_IT_number 1
_space_group_name_Hall 'P 1'
_cell_length_a 5.5584
_cell_length_b 5.5584
_cell_length_c 9.2475
_cell_angle_alpha 90.00
_cell_angle_beta 90.00
_cell_angle_gamma 120.00
loop_
_atom_site_label
_atom_site_type_symbol
_atom_site_fract_x
_atom_site_fract_y
_atom_site_fract_z
Pa1 Pa 0.3333 0.6667 0.2500
Pa2 Pa 0.6667 0.3333 0.7500
Mn1 Mn 0.0000 0.0000 0.0000
Mn2 Mn 0.0000 0.0000 0.5000
Sb1 Sb 0.3333 0.6667 0.7500
Sb2 Sb 0.6667 0.3333 0.2500
O1 O 0.0246 0.3601 0.6327
O2 O 0.0246 0.6645 0.8673
O3 O 0.3355 0.3601 0.8673
O4 O 0.3355 0.9754 0.6327
O5 O 0.3601 0.0246 0.1327
O6 O 0.3601 0.3355 0.3673
O7 O 0.6399 0.6645 0.6327
O8 O 0.6399 0.9754 0.8673
O9 O 0.6645 0.0246 0.3673
O10 O 0.6645 0.6399 0.1327
O11 O 0.9754 0.3355 0.1327
O12 O 0.9754 0.6399 0.3673
# DOS at the Fermi energy in states/eV/atom: 0.000
# E in eV/atom: -7.86
# Total magnetic moment in μB/f.u.: 5.00
# Space-group type: P-31c (163)

---

Record 3
# PaMnSbO5 (PBE with a Hubbard U, optimized geometry)
data_PaMnSbO5
_chemical_formula_sum 'Pa2 Mn2 Sb2 O10'
_space_group_name_H-M_alt 'P 1'
_space_group_IT_number 1
_space_group_name_Hall 'P 1'
_cell_length_a 6.5088
_cell_length_b 6.5088
_cell_length_c 7.5379
_cell_angle_alpha 100.45
_cell_angle_beta 100.45
_cell_angle_gamma 111.11
loop_
_atom_site_label
_atom_site_type_symbol
_atom_site_fract_x
_atom_site_fract_y
_atom_site_fract_z
Pa1 Pa 0.0000 0.5000 0.0000
Pa2 Pa 0.5000 0.0000 0.5000
Mn1 Mn 0.0026 0.9974 0.7500
Mn2 Mn 0.9974 0.0026 0.2500
Sb1 Sb 0.4965 0.5035 0.7500
Sb2 Sb 0.5035 0.4965 0.2500
O1 O 0.1049 0.2532 0.1178
O2 O 0.1943 0.8057 0.2500
O3 O 0.2532 0.1049 0.6178
O4 O 0.3084 0.5787 0.9128
O5 O 0.4213 0.6916 0.5872
O6 O 0.5787 0.3084 0.4128
O7 O 0.6916 0.4213 0.0872
O8 O 0.7468 0.8951 0.3822
O9 O 0.8057 0.1943 0.7500
O10 O 0.8951 0.7468 0.8822
# DOS at the Fermi energy in states/eV/atom: 0.000
# E in eV/atom: -7.98
# Total magnetic moment in μB/f.u.: 4.99
# Space-group type: C2/c (15)

---

Record 4
# ScPaMn2O8 (PBE with a Hubbard U, optimized geometry)
data_ScPaMn2O8
_chemical_formula_sum 'Sc1 Pa1 Mn2 O8'
_space_group_name_H-M_alt 'P 1'
_space_group_IT_number 1
_space_group_name_Hall 'P 1'
_cell_length_a 5.8599
_cell_length_b 5.8599
_cell_length_c 5.8599
_cell_angle_alpha 108.24
_cell_angle_beta 108.24
_cell_angle_gamma 111.96
loop_
_atom_site_label
_atom_site_type_symbol
_atom_site_fract_x
_atom_site_fract_y
_atom_site_fract_z
Sc1 Sc 0.0000 0.0000 0.0000
Pa1 Pa 0.7500 0.2500 0.5000
Mn1 Mn 0.2500 0.7500 0.5000
Mn2 Mn 0.5000 0.5000 0.0000
O1 O 0.0537 0.3704 0.3166
O2 O 0.0537 0.7371 0.6834
O3 O 0.1198 0.2998 0.8200
O4 O 0.2629 0.9463 0.3166
O5 O 0.4798 0.2998 0.1800
O6 O 0.6296 0.9463 0.6834
O7 O 0.7002 0.5202 0.8200
O8 O 0.7002 0.8802 0.1800
# E in eV/atom: -8.15
# Total magnetic moment in μB/f.u.: 6.00
# Space-group type: I-4m2 (119)

---

Record 5
# ScPaMnO6 (PBE with a Hubbard U, optimized geometry)
data_ScPaMnO6
_chemical_formula_sum 'Sc1 Pa1 Mn1 O6'
_space_group_name_H-M_alt 'P 1'
_space_group_IT_number 1
_space_group_name_Hall 'P 1'
_cell_length_a 5.1707
_cell_length_b 5.1707
_cell_length_c 4.7887
_cell_angle_alpha 90.00
_cell_angle_beta 90.00
_cell_angle_gamma 120.00
loop_
_atom_site_label
_atom_site_type_symbol
_atom_site_fract_x
_atom_site_fract_y
_atom_site_fract_z
Sc1 Sc 0.0000 0.0000 0.0000
Pa1 Pa 0.6667 0.3333 0.5000
Mn1 Mn 0.3333 0.6667 0.0000
O1 O 0.0226 0.3566 0.2297
O2 O 0.0226 0.6659 0.7703
O3 O 0.3341 0.3566 0.7703
O4 O 0.3341 0.9774 0.2297
O5 O 0.6434 0.6659 0.2297
O6 O 0.6434 0.9774 0.7703
# DOS at the Fermi energy in states/eV/atom: 0.000
# E in eV/atom: -8.70
# Total magnetic moment in μB/f.u.: 3.04
# Space-group type: P312 (149)

---

Record 6
# PaMnSeO6 (PBE with a Hubbard U, optimized geometry)
data_PaMnSeO6
_chemical_formula_sum 'Pa2 Mn2 Se2 O12'
_space_group_name_H-M_alt 'P 1'
_space_group_IT_number 1
_space_group_name_Hall 'P 1'
_cell_length_a 5.4614
_cell_length_b 5.4614
_cell_length_c 9.0959
_cell_angle_alpha 90.00
_cell_angle_beta 90.00
_cell_angle_gamma 120.00
loop_
_atom_site_label
_atom_site_type_symbol
_atom_site_fract_x
_atom_site_fract_y
_atom_site_fract_z
Pa1 Pa 0.3333 0.6667 0.2500
Pa2 Pa 0.6667 0.3333 0.7500
Mn1 Mn 0.0000 0.0000 0.0000
Mn2 Mn 0.0000 0.0000 0.5000
Se1 Se 0.3333 0.6667 0.7500
Se2 Se 0.6667 0.3333 0.2500
O1 O 0.0310 0.3601 0.6322
O2 O 0.0310 0.6709 0.8678
O3 O 0.3291 0.3601 0.8678
O4 O 0.3291 0.9690 0.6322
O5 O 0.3601 0.0310 0.1322
O6 O 0.3601 0.3291 0.3678
O7 O 0.6399 0.6709 0.6322
O8 O 0.6399 0.9690 0.8678
O9 O 0.6709 0.0310 0.3678
O10 O 0.6709 0.6399 0.1322
O11 O 0.9690 0.3291 0.1322
O12 O 0.9690 0.6399 0.3678
# DOS at the Fermi energy in states/eV/atom: 0.254
# E in eV/atom: -7.39
# Total magnetic moment in μB/f.u.: 4.04
# Space-group type: P-31c (163)

---

Record 7
# PaMnSiO6 (PBE with a Hubbard U, optimized geometry)
data_PaMnSiO6
_chemical_formula_sum 'Pa2 Mn2 Si2 O12'
_space_group_name_H-M_alt 'P 1'
_space_group_IT_number 1
_space_group_name_Hall 'P 1'
_cell_length_a 5.2630
_cell_length_b 5.2630
_cell_length_c 8.7068
_cell_angle_alpha 90.00
_cell_angle_beta 90.00
_cell_angle_gamma 120.00
loop_
_atom_site_label
_atom_site_type_symbol
_atom_site_fract_x
_atom_site_fract_y
_atom_site_fract_z
Pa1 Pa 0.3333 0.6667 0.2500
Pa2 Pa 0.6667 0.3333 0.7500
Mn1 Mn 0.0000 0.0000 0.0000
Mn2 Mn 0.0000 0.0000 0.5000
Si1 Si 0.3333 0.6667 0.7500
Si2 Si 0.6667 0.3333 0.2500
O1 O 0.0523 0.3748 0.6336
O2 O 0.0523 0.6774 0.8664
O3 O 0.3226 0.3748 0.8664
O4 O 0.3226 0.9477 0.6336
O5 O 0.3748 0.0523 0.1336
O6 O 0.3748 0.3226 0.3664
O7 O 0.6252 0.6774 0.6336
O8 O 0.6252 0.9477 0.8664
O9 O 0.6774 0.0523 0.3664
O10 O 0.6774 0.6252 0.1336
O11 O 0.9477 0.3226 0.1336
O12 O 0.9477 0.6252 0.3664
# DOS at the Fermi energy in states/eV/atom: 0.463
# E in eV/atom: -8.25
# Total magnetic moment in μB/f.u.: 4.01
# Space-group type: P-31c (163)

---

Record 8
# PaMnSi2O8 (PBE with a Hubbard U, optimized geometry)
data_PaMnSi2O8
_chemical_formula_sum 'Pa1 Mn1 Si2 O8'
_space_group_name_H-M_alt 'P 1'
_space_group_IT_number 1
_space_group_name_Hall 'P 1'
_cell_length_a 5.7060
_cell_length_b 5.7060
_cell_length_c 5.7060
_cell_angle_alpha 107.76
_cell_angle_beta 107.76
_cell_angle_gamma 112.96
loop_
_atom_site_label
_atom_site_type_symbol
_atom_site_fract_x
_atom_site_fract_y
_atom_site_fract_z
Pa1 Pa 0.0000 0.0000 0.0000
Mn1 Mn 0.2500 0.7500 0.5000
Si1 Si 0.5000 0.5000 0.0000
Si2 Si 0.7500 0.2500 0.5000
O1 O 0.3266 0.1410 0.8144
O2 O 0.3266 0.5123 0.1856
O3 O 0.3969 0.0823 0.3146
O4 O 0.4877 0.6734 0.8144
O5 O 0.7677 0.0823 0.6854
O6 O 0.8590 0.6734 0.1856
O7 O 0.9177 0.2323 0.3146
O8 O 0.9177 0.6031 0.6854
# DOS at the Fermi energy in states/eV/atom: 0.472
# E in eV/atom: -8.25
# Total magnetic moment in μB/f.u.: 4.09
# Space-group type: I-4m2 (119)

---

Q: Which value of E does entry 7 give?
A: -8.25 eV/atom

---

Q: Which value of total magnetic moment does entry 8 give?
A: 4.09 μB/f.u.

---

Q: The lowest E belongs to which entry?
A: ScPaMnO6